No. 1
A relaxed structure of HfPC3, computed with PBE.

Its formation energy is 1191.4 kJ/mol of formula units. As for the excess energy over the best structure of this formula in the dataset: 1.265 eV/atom.

The structure belongs to space group Pm-3m (No. 221); the cell edges are 4.301, 4.301 and 4.301 Å and the angles 90.00°, 90.00° and 90.00°. The inequivalent atoms are Hf at (0.000, 0.000, 0.000), P at (0.500, 0.500, 0.500) and C at (0.000, 0.000, 0.500).


No. 2
A relaxed structure of Hf6PC2, computed with PBE.

Its formation energy is -435.1 kJ/mol of formula units.

The structure belongs to space group C2/m (No. 12); the cell edges are 10.834, 4.428 and 7.705 Å and the angles 90.00°, 118.11° and 90.00°. The inequivalent atoms are Hf at (0.022, 0.000, 0.199), Hf at (0.158, 0.500, 0.574), Hf at (0.186, 0.500, 0.079), P at (0.000, 0.000, 0.500) and C at (0.182, 0.000, 0.089).


No. 3
A relaxed structure of HfP3C, computed with PBE.

Its formation energy is 271.1 kJ/mol of formula units. As for the excess energy over the best structure of this formula in the dataset: 0.000 eV/atom.

The structure belongs to space group Pm-3m (No. 221); the cell edges are 4.100, 4.100 and 4.100 Å and the angles 90.00°, 90.00° and 90.00°. The inequivalent atoms are Hf at (0.000, 0.000, 0.000), P at (0.000, 0.500, 0.500) and C at (0.500, 0.500, 0.500).


No. 4
A relaxed structure of Hf3PC2, computed with PBE.

Its formation energy is -98.0 kJ/mol of formula units.

The structure belongs to space group Cmcm (No. 63); the cell edges are 8.134, 12.130 and 3.941 Å and the angles 90.00°, 90.00° and 90.00°. The inequivalent atoms are Hf at (0.000, 0.103, 0.250), Hf at (0.203, 0.353, 0.250), P at (0.000, 0.260, 0.750) and C at (0.200, 0.000, 0.000).


No. 5
A relaxed structure of Hf4P2C, computed with PBE.

Its formation energy is -597.2 kJ/mol of formula units.

The structure belongs to space group C2/m (No. 12); the cell edges are 12.790, 3.480 and 6.176 Å and the angles 90.00°, 117.24° and 90.00°. The inequivalent atoms are Hf at (0.109, 0.000, 0.420), Hf at (0.115, 0.500, 0.971), P at (0.234, 0.500, 0.733) and C at (0.000, 0.000, 0.000).


No. 6
A relaxed structure of HfPC3, computed with PBE.

Its formation energy is 581.0 kJ/mol of formula units. As for the excess energy over the best structure of this formula in the dataset: 0.000 eV/atom.

The structure belongs to space group Pm-3m (No. 221); the cell edges are 3.664, 3.664 and 3.664 Å and the angles 90.00°, 90.00° and 90.00°. The inequivalent atoms are Hf at (0.000, 0.000, 0.000), P at (0.500, 0.500, 0.500) and C at (0.000, 0.500, 0.500).


No. 7
A relaxed structure of Hf3PC, computed with PBE.

Its formation energy is -280.3 kJ/mol of formula units.

The structure belongs to space group P2_1/m (No. 11); the cell edges are 5.985, 3.565 and 8.811 Å and the angles 90.00°, 99.40° and 90.00°. The inequivalent atoms are Hf at (0.184, 0.250, 0.412), Hf at (0.194, 0.750, 0.090), Hf at (0.304, 0.750, 0.753), P at (0.462, 0.750, 0.349) and C at (0.006, 0.250, 0.151).


No. 8
A relaxed structure of HfPRh2C, computed with PBE.

Its formation energy is -4.6 kJ/mol of formula units.

The structure belongs to space group P4/mmm (No. 123); the cell edges are 3.900, 3.900 and 4.874 Å and the angles 90.00°, 90.00° and 90.00°. The inequivalent atoms are Hf at (0.000, 0.000, 0.000), P at (0.500, 0.500, 0.000), Rh at (0.000, 0.500, 0.500) and C at (0.500, 0.500, 0.500).


No. 9
A relaxed structure of HfP2RhC, computed with PBE.

Its formation energy is 971.9 kJ/mol of formula units.

The structure belongs to space group P4/mmm (No. 123); the cell edges are 4.927, 4.927 and 4.849 Å and the angles 90.00°, 90.00° and 90.00°. The inequivalent atoms are Hf at (0.000, 0.000, 0.000), P at (0.000, 0.500, 0.000), Rh at (0.000, 0.000, 0.500) and C at (0.500, 0.500, 0.500).


No. 10
A relaxed structure of HfPCS2, computed with PBE.

For the energy relative to the elements, uncorrected, the calculation gives 1.2503 eV per atom. As for the excess energy over the best structure of this formula in the dataset: 0.718 eV/atom.

The structure belongs to space group P4/mmm (No. 123); the cell edges are 4.868, 4.868 and 5.152 Å and the angles 90.00°, 90.00° and 90.00°. The inequivalent atoms are Hf at (0.000, 0.000, 0.000), P at (0.000, 0.000, 0.500), C at (0.500, 0.500, 0.500) and S at (0.000, 0.500, 0.000).


No. 11
A relaxed structure of HfPCS2, computed with PBE.

For the energy relative to the elements, uncorrected, the calculation gives 0.5327 eV per atom. As for the excess energy over the best structure of this formula in the dataset: 0.000 eV/atom.

The structure belongs to space group P4/mmm (No. 123); the cell edges are 4.122, 4.122 and 4.116 Å and the angles 90.00°, 90.00° and 90.00°. The inequivalent atoms are Hf at (0.000, 0.000, 0.000), P at (0.500, 0.500, 0.000), C at (0.500, 0.500, 0.500) and S at (0.000, 0.500, 0.500).


No. 12
A relaxed structure of HfSbP2C, computed with PBE.

For the energy relative to the elements, uncorrected, the calculation gives 0.8871 eV per atom.

The structure belongs to space group P4/mmm (No. 123); the cell edges are 5.052, 5.052 and 4.231 Å and the angles 90.00°, 90.00° and 90.00°. The inequivalent atoms are Hf at (0.000, 0.000, 0.000), Sb at (0.500, 0.500, 0.500), P at (0.000, 0.500, 0.000) and C at (0.000, 0.000, 0.500).


No. 13
A relaxed structure of HfSiPC2, computed with PBE.

For the energy relative to the elements, uncorrected, the calculation gives 1.6913 eV per atom.

The structure belongs to space group P4/mmm (No. 123); the cell edges are 4.250, 4.250 and 5.077 Å and the angles 90.00°, 90.00° and 90.00°. The inequivalent atoms are Hf at (0.000, 0.000, 0.000), Si at (0.500, 0.500, 0.500), P at (0.000, 0.000, 0.500) and C at (0.000, 0.500, 0.000).


No. 14
A relaxed structure of HfTePC2, computed with PBE.

For the energy relative to the elements, uncorrected, the calculation gives 1.4163 eV per atom.

The structure belongs to space group P4/mmm (No. 123); the cell edges are 3.875, 3.875 and 5.337 Å and the angles 90.00°, 90.00° and 90.00°. The inequivalent atoms are Hf at (0.000, 0.000, 0.000), Te at (0.500, 0.500, 0.000), P at (0.000, 0.000, 0.500) and C at (0.000, 0.500, 0.500).


No. 15
A relaxed structure of HfTi2PC, computed with PBE.

Its formation energy is -39.0 kJ/mol of formula units.

The structure belongs to space group P4/mmm (No. 123); the cell edges are 4.038, 4.038 and 4.686 Å and the angles 90.00°, 90.00° and 90.00°. The inequivalent atoms are Hf at (0.000, 0.000, 0.000), Ti at (0.000, 0.500, 0.500), P at (0.500, 0.500, 0.000) and C at (0.500, 0.500, 0.500).


No. 16
A relaxed structure of YHfP2C, computed with PBE.

Its formation energy is 1130.0 kJ/mol of formula units.

The structure belongs to space group P4/mmm (No. 123); the cell edges are 5.052, 5.052 and 5.748 Å and the angles 90.00°, 90.00° and 90.00°. The inequivalent atoms are Y at (0.000, 0.000, 0.000), Hf at (0.000, 0.000, 0.500), P at (0.000, 0.500, 0.000) and C at (0.500, 0.500, 0.500).


No. 17
A relaxed structure of HfZr2PC, computed with PBE.

Its formation energy is 964.3 kJ/mol of formula units.

The structure belongs to space group P4/mmm (No. 123); the cell edges are 5.186, 5.186 and 4.661 Å and the angles 90.00°, 90.00° and 90.00°. The inequivalent atoms are Hf at (0.000, 0.000, 0.000), Zr at (0.000, 0.500, 0.000), P at (0.000, 0.000, 0.500) and C at (0.500, 0.500, 0.500).


No. 18
A relaxed structure of Hf2PaC3, computed with PBE.

Its formation energy is 40.4 kJ/mol of formula units. As for the excess energy over the best structure of this formula in the dataset: 0.764 eV/atom.

The structure belongs to space group Cmcm (No. 63); the cell edges are 3.600, 11.556 and 8.877 Å and the angles 90.00°, 90.00° and 90.00°. The inequivalent atoms are Hf at (0.000, 0.000, 0.000), Hf at (0.000, 0.421, 0.250), Pa at (0.000, 0.309, 0.750), C at (0.000, 0.044, 0.250) and C at (0.000, 0.366, 0.017).


No. 19
A relaxed structure of HfPa3C, computed with PBE.

Its formation energy is -38.7 kJ/mol of formula units.

The structure belongs to space group Pm-3m (No. 221); the cell edges are 4.809, 4.809 and 4.809 Å and the angles 90.00°, 90.00° and 90.00°. The inequivalent atoms are Hf at (0.000, 0.000, 0.000), Pa at (0.000, 0.500, 0.500) and C at (0.500, 0.500, 0.500).


No. 20
A relaxed structure of Hf5PaC6, computed with PBE.

Its formation energy is -953.9 kJ/mol of formula units.

The structure belongs to space group C2/m (No. 12); the cell edges are 5.809, 10.056 and 5.807 Å and the angles 90.00°, 109.45° and 90.00°. The inequivalent atoms are Hf at (0.000, 0.000, 0.000), Hf at (0.000, 0.167, 0.500), Hf at (0.000, 0.332, 0.000), Pa at (0.000, 0.500, 0.500), C at (0.246, 0.000, 0.752) and C at (0.247, 0.169, 0.245).


No. 21
A relaxed structure of HfPaC, computed with PBE.

Its formation energy is -101.2 kJ/mol of formula units.

The structure belongs to space group P3m1 (No. 156); the cell edges are 3.3142, 3.3142 and 5.8727 Å and the angles 90.00°, 90.00° and 120.00°. The inequivalent atoms are Hf at (0.0000, 0.0000, 0.0000), Pa at (0.6667, 0.3333, 0.5298) and C at (0.3333, 0.6667, 0.7941).


No. 22
A relaxed structure of HfPa2C3, computed with PBE.

Its formation energy is -310.2 kJ/mol of formula units.

The structure belongs to space group I4/mmm (No. 139); the cell edges are 3.503, 3.503 and 14.933 Å and the angles 90.00°, 90.00° and 90.00°. The inequivalent atoms are Hf at (0.000, 0.000, 0.000), Pa at (0.000, 0.000, 0.337), C at (0.000, 0.000, 0.157) and C at (0.000, 0.000, 0.500).


No. 23
A relaxed structure of Hf2PaC3, computed with PBE.

Its formation energy is -402.0 kJ/mol of formula units. As for the excess energy over the best structure of this formula in the dataset: 0.000 eV/atom.

The structure belongs to space group Pnma (No. 62); the cell edges are 6.829, 4.813 and 10.248 Å and the angles 90.00°, 90.00° and 90.00°. The inequivalent atoms are Hf at (0.117, 0.250, 0.084), Hf at (0.127, 0.250, 0.751), Pa at (0.127, 0.250, 0.418), C at (0.122, 0.750, 0.085), C at (0.125, 0.750, 0.752) and C at (0.136, 0.750, 0.411).


No. 24
A relaxed structure of HfPa3C4, computed with PBE.

Its formation energy is -393.7 kJ/mol of formula units.

The structure belongs to space group I4/mmm (No. 139); the cell edges are 4.990, 4.990 and 10.018 Å and the angles 90.00°, 90.00° and 90.00°. The inequivalent atoms are Hf at (0.000, 0.000, 0.000), Pa at (0.000, 0.000, 0.500), Pa at (0.000, 0.500, 0.250), C at (0.000, 0.000, 0.243) and C at (0.000, 0.500, 0.000).


No. 25
A relaxed structure of Hf2PaReC4, computed with PBE.

Its formation energy is -299.5 kJ/mol of formula units.

The structure belongs to space group Cmcm (No. 63); the cell edges are 3.319, 11.600 and 11.336 Å and the angles 90.00°, 90.00° and 90.00°. The inequivalent atoms are Hf at (0.000, 0.130, 0.039), Pa at (0.000, 0.389, 0.250), Re at (0.000, 0.349, 0.750), C at (0.000, 0.048, 0.250), C at (0.000, 0.235, 0.621) and C at (0.000, 0.500, 0.000).


For the records above, the corresponding ρ values read 5.12 11.47 6.83 10.08 10.71 8.29 10.36 9.57 5.01 3.88 6.78 5.75 4.74 7.48 6.89 3.86 5.35 11.22 13.19 12.41 12.53 12.26 12.31 12.24 12.51 g/cm³.
For the records above, the corresponding electronic total energy values read -6.137 -9.787 -6.519 -9.122 -9.435 -7.403 -9.480 -7.868 -5.455 -5.318 -6.036 -5.937 -6.155 -5.974 -8.156 -4.950 -6.338 -9.443 -9.613 -10.374 -9.907 -9.972 -10.207 -9.927 -10.231 eV per atom.